1.
The following is a PBE calculation of a relaxed structure of Sc2FeCo2, from Alexandria via LeMat-Bulk.

Cell lengths 7.095, 7.095, 2.922 Å; angles 90.00, 90.00, 90.00 degrees
Sites, in units of the cell vectors:
Sc  0.156  0.344  0.000
Sc  0.344  0.844  0.000
Sc  0.656  0.156  0.000
Sc  0.844  0.656  0.000
Fe  0.000  0.000  0.000
Fe  0.500  0.500  0.000
Co  0.148  0.648  0.500
Co  0.352  0.148  0.500
Co  0.648  0.852  0.500
Co  0.852  0.352  0.500

Computed properties:
The calculation puts the energy of formation from the pure elements at 0.31 eV/atom. The space group is P4/mbm.

***

2.
The following is a PBE calculation of a relaxed structure of Ag4S2Br, from Alexandria via LeMat-Bulk.

Cell lengths 3.865, 14.447, 11.891 Å; angles 90.00, 90.00, 90.00 degrees
Sites, in units of the cell vectors:
Ag  0.001  0.022  0.119
Ag  0.001  0.022  0.381
Ag  0.001  0.478  0.619
Ag  0.001  0.478  0.881
Ag  0.006  0.650  0.750
Ag  0.006  0.850  0.250
Ag  0.494  0.250  0.000
Ag  0.494  0.250  0.500
Ag  0.506  0.750  0.000
Ag  0.506  0.750  0.500
Ag  0.994  0.150  0.750
Ag  0.994  0.350  0.250
Ag  0.999  0.522  0.119
Ag  0.999  0.522  0.381
Ag  0.999  0.978  0.619
Ag  0.999  0.978  0.881
S  0.006  0.646  0.549
S  0.006  0.646  0.951
S  0.006  0.854  0.049
S  0.006  0.854  0.451
S  0.994  0.146  0.549
S  0.994  0.146  0.951
S  0.994  0.354  0.049
S  0.994  0.354  0.451
Br  0.499  0.617  0.250
Br  0.499  0.883  0.750
Br  0.501  0.117  0.250
Br  0.501  0.383  0.750

Computed properties:
The value obtained for the uncorrected formation energy is -86 meV per atom. Its energy above the most stable polymorph in this dataset is 0 meV/atom. The space group is Pbcm.

***

3.
The following is a PBE calculation of a relaxed structure of LaZnTc, from Alexandria via LeMat-Bulk.

Cell lengths 4.557, 4.557, 4.557 Å; angles 60.00, 60.00, 60.00 degrees
Sites, in units of the cell vectors:
La  0.000  0.000  0.000
Zn  0.500  0.500  0.500
Tc  0.250  0.250  0.250

Computed properties:
The calculation puts the energy of formation from the pure elements at 0.31 eV/atom. Its energy above the most stable polymorph in this dataset is 404 meV/atom. The space group is F-43m.

***

4.
The following is a PBE calculation of a relaxed structure of V2CoCl, from Alexandria via LeMat-Bulk.

Cell lengths 6.251, 6.251, 6.251 Å; angles 129.88, 129.88, 73.61 degrees
Sites, in units of the cell vectors:
V  0.101  0.625  0.976
V  0.375  0.351  0.476
V  0.649  0.125  0.024
V  0.875  0.899  0.524
Co  0.000  0.000  0.000
Co  0.750  0.250  0.500
Cl  0.250  0.750  0.500
Cl  0.500  0.500  0.000

Computed properties:
The value obtained for the uncorrected formation energy is 513 meV per atom. Its energy above the most stable polymorph in this dataset is 57 meV/atom. The space group is I-42d.

***

5.
The following is a PBE calculation of a relaxed structure of TiBe5Pt4, from Alexandria via LeMat-Bulk.

Cell lengths 2.835, 2.835, 14.672 Å; angles 90.00, 90.00, 90.00 degrees
Sites, in units of the cell vectors:
Ti  0.000  0.000  0.000
Be  0.500  0.500  0.116
Be  0.500  0.500  0.303
Be  0.500  0.500  0.500
Be  0.500  0.500  0.697
Be  0.500  0.500  0.884
Pt  0.000  0.000  0.206
Pt  0.000  0.000  0.402
Pt  0.000  0.000  0.598
Pt  0.000  0.000  0.794

Computed properties:
The calculation puts the energy of formation from the pure elements at -0.64 eV/atom. The space group is P4/mmm.

***

6.
The following is a PBE calculation of a relaxed structure of Tl2SbAs2O6, from Alexandria via LeMat-Bulk.

Cell lengths 5.455, 5.455, 7.545 Å; angles 104.62, 104.62, 64.81 degrees
Sites, in units of the cell vectors:
Tl  0.220  0.220  0.154
Tl  0.780  0.780  0.846
Sb  0.000  0.000  0.500
As  0.397  0.397  0.737
As  0.603  0.603  0.263
O  0.240  0.240  0.529
O  0.245  0.717  0.294
O  0.283  0.755  0.706
O  0.717  0.245  0.294
O  0.755  0.283  0.706
O  0.760  0.760  0.471

Computed properties:
The value obtained for the uncorrected formation energy is -1044 meV per atom. The space group is C2/m.